1.
This record from the Alexandria database describes a geometry-optimized HgBr2 structure. The functional is PBE.

Lattice parameters (Å, degrees): 7.2707 7.2707 8.0295 90.31 90.31 32.46
Element x y z (fractional)
Hg (0.0000, 0.0000, 0.0000)
Hg (0.7362, 0.7362, 0.3119)
Br (0.2013, 0.2013, 0.0600)
Br (0.2016, 0.2016, 0.5291)
Br (0.4756, 0.4756, 0.7890)
Br (0.9368, 0.9368, 0.3033)

Computed properties:
For the uncorrected formation energy, the calculation gives -0.40 eV per atom. The value obtained for the energy is -1.62 eV per atom. The calculation puts the size of the total moment at 0.00 μB per cell.



2.
This record from the Alexandria database describes a geometry-optimized CdAg2IO6 structure. The functional is PBE.

Lattice parameters (Å, degrees): 5.5811 5.7184 5.7458 117.13 117.81 90.14
Element x y z (fractional)
Cd (0.0000, 0.0000, 0.0000)
Ag (0.2507, 0.7603, 0.4793)
Ag (0.7620, 0.3512, 0.5271)
I (0.4704, 0.4311, 0.9218)
O (0.1446, 0.2348, 0.5075)
O (0.2669, 0.6699, 0.0520)
O (0.3594, 0.1711, 0.0000)
O (0.6146, 0.6654, 0.8291)
O (0.6668, 0.1751, 0.7562)
O (0.7991, 0.6004, 0.3329)

Computed properties:
For the uncorrected formation energy, the calculation gives -0.31 eV per atom. Its density of states at the Fermi level is 4.01 states/eV per cell. The value obtained for the energy is -4.11 eV per atom. The calculation puts the size of the total moment at 0.77 μB per cell.



3.
This record from the Alexandria database describes a geometry-optimized Mn2Ir2Rh structure. The functional is PBE.

Lattice parameters (Å, degrees): 7.1526 7.1526 2.6661 90.00 90.00 90.00
Element x y z (fractional)
Mn (0.1674, 0.3326, 0.0000)
Mn (0.3326, 0.8326, 0.0000)
Mn (0.6674, 0.1674, 0.0000)
Mn (0.8326, 0.6674, 0.0000)
Ir (0.1296, 0.6296, 0.5000)
Ir (0.3704, 0.1296, 0.5000)
Ir (0.6296, 0.8704, 0.5000)
Ir (0.8704, 0.3704, 0.5000)
Rh (0.0000, 0.0000, 0.5000)
Rh (0.5000, 0.5000, 0.5000)

Computed properties:
Its density of states at the Fermi level is 10.52 states/eV per cell. The value obtained for the energy is -8.59 eV per atom. For the excess energy over the best structure of this formula in the dataset, the calculation gives 0.034 eV/atom. The formation energy is 0.093 eV/atom. The calculation puts the size of the total moment at 0.50 μB per cell.



4.
This record from the Alexandria database describes a geometry-optimized ThAl2Ni3 structure. The functional is PBE.

Lattice parameters (Å, degrees): 5.0807 5.0807 4.1396 90.00 90.00 118.18
Element x y z (fractional)
Th (0.0000, 0.0000, 0.0000)
Al (0.0000, 0.5000, 0.5000)
Al (0.5000, 0.0000, 0.5000)
Ni (0.3271, 0.6729, 0.0000)
Ni (0.5000, 0.5000, 0.5000)
Ni (0.6729, 0.3271, 0.0000)

Computed properties:
Its density of states at the Fermi level is 5.74 states/eV per cell. The value obtained for the energy is -5.96 eV per atom. The formation energy is -0.588 eV/atom. The calculation puts the size of the total moment at 0.00 μB per cell.



5.
This record from the Alexandria database describes a geometry-optimized Ni2MoAsPt structure. The functional is PBE.

Lattice parameters (Å, degrees): 4.4449 4.4449 4.7232 90.00 90.00 90.00
Element x y z (fractional)
Ni (0.0000, 0.5000, 0.0000)
Ni (0.5000, 0.0000, 0.0000)
Mo (0.0000, 0.0000, 0.0000)
As (0.0000, 0.0000, 0.5000)
Pt (0.5000, 0.5000, 0.5000)

Computed properties:
Its density of states at the Fermi level is 4.58 states/eV per cell. The value obtained for the energy is -5.43 eV per atom. The formation energy is 1.189 eV/atom. The calculation puts the size of the total moment at 0.00 μB per cell.



6.
This record from the Alexandria database describes a geometry-optimized CaLa2N structure. The functional is PBE.

Lattice parameters (Å, degrees): 3.7261 3.7261 10.2130 100.59 100.59 60.00
Element x y z (fractional)
Ca (0.0000, 0.0000, 0.0000)
La (0.5473, 0.5473, 0.6389)
La (0.7864, 0.7864, 0.3581)
N (0.1662, 0.1662, 0.4965)

Computed properties:
For the uncorrected formation energy, the calculation gives -0.65 eV per atom. Its density of states at the Fermi level is 4.30 states/eV per cell. The value obtained for the energy is -5.69 eV per atom. The calculation puts the size of the total moment at 0.07 μB per cell.



7.
This record from the Alexandria database describes a geometry-optimized Tb12Ho7Mg structure. The functional is PBE.

Lattice parameters (Å, degrees): 10.3515 10.3515 10.3515 109.47 109.47 109.47
Element x y z (fractional)
Tb (0.0948, 0.3551, 0.7397)
Tb (0.2603, 0.6154, 0.3551)
Tb (0.2603, 0.9052, 0.6449)
Tb (0.3551, 0.2603, 0.6154)
Tb (0.3551, 0.7397, 0.0948)
Tb (0.3846, 0.6449, 0.7397)
Tb (0.6154, 0.3551, 0.2603)
Tb (0.6449, 0.2603, 0.9052)
Tb (0.6449, 0.7397, 0.3846)
Tb (0.7397, 0.0948, 0.3551)
Tb (0.7397, 0.3846, 0.6449)
Tb (0.9052, 0.6449, 0.2603)
Ho (0.0000, 0.0000, 0.5000)
Ho (0.0000, 0.5000, 0.0000)
Ho (0.0000, 0.5000, 0.5000)
Ho (0.5000, 0.0000, 0.0000)
Ho (0.5000, 0.0000, 0.5000)
Ho (0.5000, 0.5000, 0.0000)
Ho (0.5000, 0.5000, 0.5000)
Mg (0.0000, 0.0000, 0.0000)

Computed properties:
Its density of states at the Fermi level is 34.88 states/eV per cell. The value obtained for the energy is -3.63 eV per atom. For the excess energy over the best structure of this formula in the dataset, the calculation gives 0.616 eV/atom. The formation energy is 0.830 eV/atom. The calculation puts the size of the total moment at 0.00 μB per cell.



8.
This record from the Alexandria database describes a geometry-optimized Ca2TbPr3Se6 structure. The functional is PBE.

Lattice parameters (Å, degrees): 7.2413 7.2413 7.4020 99.40 99.40 120.07
Element x y z (fractional)
Ca (0.1665, 0.8335, 0.0000)
Ca (0.8335, 0.1665, 0.0000)
Tb (0.5000, 0.5000, 0.0000)
Pr (0.0000, 0.0000, 0.5000)
Pr (0.3293, 0.6707, 0.5000)
Pr (0.6707, 0.3293, 0.5000)
Se (0.0905, 0.4214, 0.7645)
Se (0.2498, 0.2498, 0.2412)
Se (0.4214, 0.0905, 0.7645)
Se (0.5786, 0.9095, 0.2355)
Se (0.7502, 0.7502, 0.7588)
Se (0.9095, 0.5786, 0.2355)

Computed properties:
For the uncorrected formation energy, the calculation gives -1.88 eV per atom. Its density of states at the Fermi level is 5.21 states/eV per cell. The value obtained for the energy is -5.53 eV per atom. The calculation puts the size of the total moment at 0.00 μB per cell.